Here is a relaxed structure of NbAsHSe2 from Alexandria. Energies are from PBE.

Results
The value obtained for the energy above the most stable polymorph in this dataset is 0.00 eV per formula unit.

a b c (Å): 4.7858 4.7858 3.4066
angles (deg): 90.00 90.00 90.00
Sites, in units of the cell vectors:
Nb 0.0000 0.0000 0.0000
As 0.5000 0.5000 0.0000
H 0.5000 0.5000 0.5000
Se 0.0000 0.5000 0.5000
Se 0.5000 0.0000 0.5000



Here is a relaxed structure of NbAsHSe2 from Alexandria. Energies are from PBE.

Results
The value obtained for the energy above the most stable polymorph in this dataset is 0.27 eV per formula unit.

a b c (Å): 5.0353 5.0353 5.0739
angles (deg): 90.00 90.00 90.00
Sites, in units of the cell vectors:
Nb 0.0000 0.0000 0.0000
As 0.0000 0.0000 0.5000
H 0.5000 0.5000 0.5000
Se 0.0000 0.5000 0.0000
Se 0.5000 0.0000 0.0000



Here is a relaxed structure of NbSn2AsH from Alexandria. Energies are from PBE.

Results
For the total energy, the calculation gives -4.687 eV per atom.

a b c (Å): 5.5635 5.5635 3.5308
angles (deg): 90.00 90.00 90.00
Sites, in units of the cell vectors:
Nb 0.0000 0.0000 0.0000
Sn 0.0000 0.5000 0.0000
Sn 0.5000 0.0000 0.0000
As 0.5000 0.5000 0.5000
H 0.0000 0.0000 0.5000